(1)
First-principles (PBE) data for a relaxed Cs2VCl7 crystal, as listed in the Alexandria database.

Calculated values
Raw total energy = -3.66 eV/atom
Polymorph energy (0 for the lowest one) = 25 meV/atom
Formation energy from raw total energies = -1.281 eV per atom
Symmetry = C2/c
Crystal system = monoclinic

extended XYZ file:
```
20
Lattice="-0.160 -5.592 5.142 10.078 -3.801 1.793 0.758 2.982 8.881" Properties=species:S:1:pos:R:3 pbc="T T T"
Cs 10.043 -4.828 11.254
Cs 4.606 -5.065 6.511
Cs 6.070 -1.345 9.305
Cs 0.634 -1.582 4.562
V 2.933 -4.169 12.126
V 7.744 -2.241 3.690
Cl 5.205 -3.995 12.360
Cl 9.856 -7.684 9.089
Cl 8.838 -1.390 11.433
Cl 3.123 -1.030 7.241
Cl 2.983 -2.384 10.484
Cl 3.301 -5.136 9.917
Cl 2.978 0.964 9.405
Cl 7.698 -7.374 6.411
Cl 7.375 -1.275 5.899
Cl 7.693 -4.026 5.332
Cl 7.554 -5.380 8.575
Cl 1.839 -5.020 4.383
Cl 0.820 1.274 6.727
Cl 5.472 -2.415 3.456
```

---

(2)
First-principles (PBE) data for a relaxed Cs2VCl7 crystal, as listed in the Alexandria database.

Calculated values
Raw total energy = -3.68 eV/atom
Polymorph energy (0 for the lowest one) = 0 meV/atom
Formation energy from raw total energies = -1.306 eV per atom
Symmetry = I4/mmm
Crystal system = tetragonal

extended XYZ file:
```
10
Lattice="-0.731 5.953 -5.034 -7.796 -0.574 0.454 -4.280 6.241 1.912" Properties=species:S:1:pos:R:3 pbc="T T T"
Cs -4.638 7.441 -2.706
Cs -8.170 4.178 0.038
Cl -4.264 2.689 -2.290
Cl -4.273 4.759 0.159
Cl -8.534 6.860 -2.827
Cl -1.771 1.117 -0.951
Cl -6.756 4.262 -3.629
Cl -2.199 4.597 -3.894
Cl -6.328 0.782 -0.686
V 0.000 0.000 0.000
```

---

(3)
First-principles (PBE) data for a relaxed Cs3VCl6 crystal, as listed in the Alexandria database.

Calculated values
Raw total energy = -3.96 eV/atom
Polymorph energy (0 for the lowest one) = 18 meV/atom
Formation energy from raw total energies = -1.688 eV per atom
Symmetry = Fm-3m
Crystal system = cubic

extended XYZ file:
```
10
Lattice="-6.091 4.289 -2.928 -4.902 -3.260 5.423 -4.285 4.701 4.859" Properties=species:S:1:pos:R:3 pbc="T T T"
Cs -7.937 4.752 1.589
Cs -7.342 0.978 5.765
Cs 0.000 0.000 0.000
Cl -4.984 2.287 2.777
Cl -10.295 3.443 4.577
Cl -3.170 0.297 0.719
Cl -7.824 0.732 1.776
Cl -5.748 2.112 -0.520
Cl -5.245 -1.084 3.015
V -5.497 0.514 1.247
```

---

(4)
First-principles (PBE) data for a relaxed Cs3VCl6 crystal, as listed in the Alexandria database.

Calculated values
Raw total energy = -3.98 eV/atom
Polymorph energy (0 for the lowest one) = 0 meV/atom
Formation energy from raw total energies = -1.707 eV per atom
Symmetry = P2_1/c
Crystal system = monoclinic

extended XYZ file:
```
20
Lattice="-2.219 -0.836 7.702 6.939 -3.486 1.621 4.265 10.163 2.332" Properties=species:S:1:pos:R:3 pbc="T T T"
Cs 4.334 0.849 1.784
Cs 2.360 -2.161 4.662
Cs 4.651 4.992 9.870
Cs 9.061 3.857 6.802
Cs 2.133 5.081 1.166
Cs -0.075 1.984 4.853
V 4.493 2.920 5.827
V 0.000 0.000 0.000
Cl 0.026 -1.118 6.874
Cl 2.615 2.826 7.347
Cl 4.773 5.261 6.321
Cl 4.212 0.580 5.334
Cl 6.370 3.015 4.308
Cl 8.959 6.959 4.781
Cl 5.978 2.352 7.638
Cl 8.198 6.157 9.391
Cl 5.084 -1.950 9.527
Cl 3.901 7.791 2.128
Cl 0.788 -0.316 2.264
Cl 3.008 3.489 4.017
```

---

(5)
First-principles (PBE) data for a relaxed Cs3VCl6 crystal, as listed in the Alexandria database.

Calculated values
Raw total energy = -3.93 eV/atom
Polymorph energy (0 for the lowest one) = 55 meV/atom
Formation energy from raw total energies = -1.651 eV per atom
Symmetry = I4/mmm
Crystal system = tetragonal

extended XYZ file:
```
10
Lattice="-4.294 1.687 -6.806 -3.362 -3.898 6.411 2.189 5.866 5.330" Properties=species:S:1:pos:R:3 pbc="T T T"
Cs -4.121 -0.613 2.738
Cs -0.587 0.984 5.870
Cs -1.346 4.268 2.197
V 0.000 0.000 0.000
Cl -5.392 -1.557 -0.278
Cl -1.482 5.319 -1.040
Cl -0.623 2.234 -0.437
Cl -2.264 -0.654 -0.117
Cl -0.926 1.553 9.265
Cl -0.247 0.415 2.475
```

---

(6)
First-principles (PBE) data for a relaxed Cs5V2Cl12 crystal, as listed in the Alexandria database.

Calculated values
Raw total energy = -3.97 eV/atom
Formation energy from raw total energies = -1.615 eV per atom
Symmetry = P-1
Crystal system = triclinic

extended XYZ file:
```
19
Lattice="8.767 0.817 0.522 2.487 8.377 0.911 -1.257 -2.564 10.785" Properties=species:S:1:pos:R:3 pbc="T T T"
Cs 9.480 3.953 3.874
Cs 5.786 1.015 6.299
Cs 4.383 0.408 0.261
Cs 4.211 5.615 5.919
Cs 0.516 2.677 8.344
V 2.506 6.989 2.202
V 7.490 -0.359 10.017
Cl 7.672 1.599 1.375
Cl -0.051 -0.908 7.536
Cl 3.721 5.067 2.346
Cl 8.308 6.850 9.756
Cl 9.584 6.739 1.540
Cl 7.140 4.095 6.288
Cl 2.857 2.535 5.930
Cl 1.689 -0.220 2.462
Cl 0.413 -0.109 10.678
Cl 10.048 7.538 4.682
Cl 6.276 1.563 9.873
Cl 2.325 5.031 10.843
```

---

(7)
First-principles (PBE) data for a relaxed Cs3VCl8 crystal, as listed in the Alexandria database.

Calculated values
Raw total energy = -3.68 eV/atom
Formation energy from raw total energies = -1.471 eV per atom
Symmetry = P6_3mc
Crystal system = hexagonal

extended XYZ file:
```
24
Lattice="-0.129 -7.666 5.185 -7.863 -3.593 -5.508 9.625 -2.085 -2.842" Properties=species:S:1:pos:R:3 pbc="T T T"
Cs 2.618 -9.693 -2.507
Cs 1.677 -6.662 1.951
Cs 6.816 -7.775 0.434
Cs -0.975 -3.063 -1.056
Cs -0.034 -6.095 -5.514
Cs -5.173 -4.981 -3.996
V 3.776 -3.743 -2.950
V -2.118 -8.078 -1.246
Cl 4.438 -1.666 -2.232
Cl 4.996 -3.462 -4.873
Cl 1.951 -2.803 -3.974
Cl -2.742 -7.957 -3.450
Cl -3.300 -6.161 -0.809
Cl -0.255 -6.820 -1.708
Cl -1.499 -8.209 0.945
Cl -0.947 -9.988 -1.671
Cl -3.962 -9.335 -0.780
Cl 3.121 -5.810 -3.653
Cl 2.569 -4.031 -1.038
Cl 5.584 -4.684 -1.928
Cl 3.716 -7.313 -0.534
Cl -2.049 -3.983 -4.015
Cl -0.125 -7.412 5.014
Cl -0.060 -3.579 2.421
```

---

(8)
First-principles (PBE) data for a relaxed Cs2V3Cl8 crystal, as listed in the Alexandria database.

Calculated values
Raw total energy = -4.76 eV/atom
Formation energy from raw total energies = -1.386 eV per atom
Symmetry = C2/m
Crystal system = monoclinic

extended XYZ file:
```
13
Lattice="-3.484 4.324 -5.186 -1.073 -5.319 -3.715 -4.717 -1.405 7.563" Properties=species:S:1:pos:R:3 pbc="T T T"
Cs -3.752 -1.306 1.432
Cs -5.521 -1.093 -2.768
V -0.537 -2.659 -1.857
V -2.602 3.230 -3.873
V -0.882 1.095 -1.313
Cl -3.953 -2.758 -5.210
Cl -5.320 0.359 3.874
Cl -2.038 -4.612 -2.477
Cl -7.235 2.213 1.140
Cl -5.090 -3.836 3.242
Cl -6.981 -1.488 0.427
Cl -2.293 -0.911 -1.764
Cl -4.184 1.436 -4.579
```

---

(9)
First-principles (PBE) data for a relaxed Cs2VCl5 crystal, as listed in the Alexandria database.

Calculated values
Raw total energy = -4.13 eV/atom
Polymorph energy (0 for the lowest one) = 22 meV/atom
Formation energy from raw total energies = -1.627 eV per atom
Symmetry = I4mm
Crystal system = tetragonal

extended XYZ file:
```
8
Lattice="7.302 0.244 0.348 -3.382 6.476 -0.348 -3.382 -2.530 5.971" Properties=species:S:1:pos:R:3 pbc="T T T"
Cs 0.335 -0.195 4.510
Cs 0.335 4.308 1.351
V -0.225 0.131 0.187
Cl -1.022 3.199 4.559
Cl -3.287 4.520 0.906
Cl -3.287 -0.685 4.559
Cl 1.749 0.880 1.255
Cl -1.788 1.043 1.487
```

---

(10)
First-principles (PBE) data for a relaxed Cs2VZnCl6 crystal, as listed in the Alexandria database.

Calculated values
Raw total energy = -3.75 eV/atom
Formation energy from raw total energies = -1.432 eV per atom
Symmetry = Fm-3m
Crystal system = cubic

extended XYZ file:
```
10
Lattice="-4.472 -4.942 2.672 5.540 -3.312 3.147 -0.126 -1.282 7.065" Properties=species:S:1:pos:R:3 pbc="T T T"
Cs -2.032 -5.175 6.324
Cs 2.974 -4.360 6.561
Zn 0.000 0.000 0.000
Cl 0.203 -2.701 4.993
Cl 0.739 -6.835 7.891
Cl 0.266 -2.057 1.450
Cl 0.802 -6.196 4.368
Cl -1.976 -4.535 2.790
Cl 3.044 -3.718 3.028
V 0.534 -4.127 2.909
```

---

(11)
First-principles (PBE) data for a relaxed Cs2ZrVCl6 crystal, as listed in the Alexandria database.

Calculated values
Raw total energy = -4.52 eV/atom
Formation energy from raw total energies = -1.477 eV per atom
Symmetry = Fm-3m
Crystal system = cubic

extended XYZ file:
```
10
Lattice="-2.497 -3.419 -6.033 3.541 -6.142 2.016 -3.698 -6.348 0.627" Properties=species:S:1:pos:R:3 pbc="T T T"
Cs -2.836 -7.274 -3.707
Cs 0.182 -8.635 0.317
Cl -1.570 -5.558 -0.702
Cl -1.084 -10.351 -2.688
Cl 0.264 -2.414 -1.014
Cl 0.780 -7.147 -3.002
Cl -0.972 -4.107 -4.000
Cl 2.016 -5.454 -0.017
Zr 0.000 0.000 0.000
V 0.522 -4.780 -2.008
```

---

(12)
First-principles (PBE) data for a relaxed CsW2Cl crystal, as listed in the Alexandria database.

Calculated values
Raw total energy = -4.47 eV/atom
Formation energy from raw total energies = 2.677 eV per atom
Symmetry = Fm-3m
Crystal system = cubic

extended XYZ file:
```
4
Lattice="0.000 3.372 3.372 3.372 0.000 3.372 3.372 3.372 0.000" Properties=species:S:1:pos:R:3 pbc="T T T"
Cs 3.372 3.372 3.372
W 1.686 1.686 1.686
W 5.059 5.059 5.059
Cl 0.000 0.000 0.000
```

---

(13)
First-principles (PBE) data for a relaxed Cs2WCl7 crystal, as listed in the Alexandria database.

Calculated values
Raw total energy = -3.97 eV/atom
Polymorph energy (0 for the lowest one) = 31 meV/atom
Formation energy from raw total energies = -1.211 eV per atom
Symmetry = Fm-3m
Crystal system = cubic

extended XYZ file:
```
10
Lattice="-4.120 -1.811 -6.569 6.777 -0.287 -4.172 1.832 -6.529 -4.176" Properties=species:S:1:pos:R:3 pbc="T T T"
Cs -0.480 -4.694 -8.058
Cs 4.969 -3.932 -6.859
W 0.000 0.000 0.000
Cl 1.328 -1.049 -5.371
Cl 1.621 -4.234 -4.676
Cl 2.867 -4.392 -10.241
Cl 0.556 -0.439 -2.249
Cl 2.100 -1.658 -8.492
Cl -1.839 -1.491 -6.067
Cl 4.495 -0.606 -4.674
```

---

(14)
First-principles (PBE) data for a relaxed CsWCl4 crystal, as listed in the Alexandria database.

Calculated values
Raw total energy = -4.59 eV/atom
Formation energy from raw total energies = -1.062 eV per atom
Symmetry = C2/m
Crystal system = monoclinic

extended XYZ file:
```
12
Lattice="6.817 0.488 -0.858 -0.901 6.803 -3.287 1.086 0.129 8.776" Properties=species:S:1:pos:R:3 pbc="T T T"
Cs 2.059 1.356 2.243
Cs 4.944 6.064 2.388
W 1.337 3.130 6.112
W 5.666 4.290 -1.482
Cl 6.407 2.761 3.958
Cl 4.054 6.060 -1.092
Cl -0.692 5.228 -2.526
Cl 2.568 4.231 4.335
Cl 0.595 4.659 0.673
Cl 2.949 1.360 5.723
Cl -0.209 1.575 -0.761
Cl 4.434 3.189 0.295
```

---

(15)
First-principles (PBE) data for a relaxed CsWCl5 crystal, as listed in the Alexandria database.

Calculated values
Raw total energy = -4.40 eV/atom
Formation energy from raw total energies = -1.114 eV per atom
Symmetry = C2/c
Crystal system = monoclinic

extended XYZ file:
```
14
Lattice="-2.734 -7.503 -0.369 1.650 -5.145 5.893 -7.728 -0.652 5.656" Properties=species:S:1:pos:R:3 pbc="T T T"
Cs -6.320 -6.803 7.029
Cs -2.492 -6.497 4.150
W 0.000 0.000 0.000
W -3.864 -0.326 2.828
Cl -6.356 -7.868 10.432
Cl -2.986 -7.560 7.919
Cl -5.082 -8.935 3.905
Cl -8.206 -7.818 4.336
Cl 0.595 -4.039 4.085
Cl -9.408 -9.262 7.094
Cl -0.607 -5.482 6.843
Cl -3.731 -4.365 7.275
Cl -5.826 -5.740 3.260
Cl -2.457 -5.432 0.748
```

---

(16)
First-principles (PBE) data for a relaxed CsWCl3 crystal, as listed in the Alexandria database.

Calculated values
Raw total energy = -4.84 eV/atom
Polymorph energy (0 for the lowest one) = 0 meV/atom
Formation energy from raw total energies = -0.966 eV per atom
Symmetry = P-1
Crystal system = triclinic

extended XYZ file:
```
10
Lattice="6.946 0.923 0.189 -2.090 6.852 0.870 0.262 1.587 7.525" Properties=species:S:1:pos:R:3 pbc="T T T"
Cs 4.544 2.205 3.115
Cs 0.439 5.143 0.974
W 5.009 5.208 5.870
W 0.235 3.727 5.745
Cl 4.760 6.170 3.775
Cl 3.968 3.180 6.592
Cl 1.276 5.755 5.023
Cl 0.223 1.178 0.315
Cl 4.382 6.145 8.000
Cl 0.863 2.790 3.615
```

---

(17)
First-principles (PBE) data for a relaxed Cs2WCl crystal, as listed in the Alexandria database.

Calculated values
Raw total energy = -3.44 eV/atom
Polymorph energy (0 for the lowest one) = 0 meV/atom
Formation energy from raw total energies = 0.690 eV per atom
Symmetry = I-42d
Crystal system = tetragonal

extended XYZ file:
```
8
Lattice="4.004 -4.001 6.338 3.696 7.639 -0.459 -8.351 0.622 1.445" Properties=species:S:1:pos:R:3 pbc="T T T"
Cs -3.261 0.141 6.461
Cs 4.535 5.028 2.334
Cs -3.427 1.146 1.503
Cs 0.852 2.204 4.352
W 0.000 0.000 0.000
W -0.403 5.040 1.963
Cl 3.850 1.819 2.940
Cl -0.248 -0.780 5.361
```

---

(18)
First-principles (PBE) data for a relaxed Cs2WCl crystal, as listed in the Alexandria database.

Calculated values
Raw total energy = -3.42 eV/atom
Polymorph energy (0 for the lowest one) = 12 meV/atom
Formation energy from raw total energies = 0.702 eV per atom
Symmetry = Fm-3m
Crystal system = cubic

extended XYZ file:
```
4
Lattice="5.933 1.700 1.414 1.169 5.767 2.338 1.745 0.669 6.049" Properties=species:S:1:pos:R:3 pbc="T T T"
Cs 2.212 2.034 2.450
Cs 6.635 6.102 7.351
W 4.423 4.068 4.901
Cl 0.000 0.000 0.000
```

---

(19)
First-principles (PBE) data for a relaxed CsW3Cl crystal, as listed in the Alexandria database.

Calculated values
Raw total energy = -4.08 eV/atom
Polymorph energy (0 for the lowest one) = 1701 meV/atom
Formation energy from raw total energies = 4.236 eV per atom
Symmetry = Pm-3m
Crystal system = cubic

extended XYZ file:
```
5
Lattice="5.023 0.000 0.000 0.000 5.023 0.000 0.000 0.000 5.023" Properties=species:S:1:pos:R:3 pbc="T T T"
Cs 0.000 0.000 0.000
W 0.000 2.512 0.000
W 0.000 0.000 2.512
W 2.512 0.000 0.000
Cl 2.512 2.512 2.512
```

---

(20)
First-principles (PBE) data for a relaxed Cs2WCl7 crystal, as listed in the Alexandria database.

Calculated values
Raw total energy = -4.00 eV/atom
Polymorph energy (0 for the lowest one) = 0 meV/atom
Formation energy from raw total energies = -1.242 eV per atom
Symmetry = C2/c
Crystal system = monoclinic

extended XYZ file:
```
20
Lattice="7.130 0.000 3.477 3.224 9.853 2.439 -0.252 -1.156 9.565" Properties=species:S:1:pos:R:3 pbc="T T T"
Cs 7.088 8.540 11.316
Cs 6.624 4.192 5.813
Cs 3.478 4.506 9.668
Cs 3.015 0.157 4.165
W 7.508 1.597 11.144
W 2.595 7.101 4.337
Cl 7.146 3.822 11.857
Cl 9.386 9.326 8.539
Cl 3.953 6.827 12.275
Cl 2.839 1.877 7.265
Cl 5.293 1.597 10.064
Cl 7.799 2.478 8.874
Cl 1.577 1.316 9.854
Cl 8.526 7.382 5.628
Cl 2.304 6.220 6.608
Cl 4.809 7.101 5.417
Cl 7.263 6.820 8.216
Cl 6.150 1.871 3.206
Cl 0.717 -0.628 6.942
Cl 2.956 4.876 3.624
```

---

Number 1: spin magnetization 2.30 Bohr magnetons per cell. Number 2: spin magnetization 0.00 Bohr magnetons per cell. Number 3: spin magnetization 2.00 Bohr magnetons per cell. Number 4: spin magnetization 4.00 Bohr magnetons per cell. Number 5: spin magnetization 2.00 Bohr magnetons per cell. Number 6: spin magnetization 3.00 Bohr magnetons per cell. Number 7: spin magnetization 0.07 Bohr magnetons per cell. Number 8: spin magnetization 9.00 Bohr magnetons per cell. Number 9: spin magnetization 2.00 Bohr magnetons per cell. Number 10: spin magnetization 3.00 Bohr magnetons per cell. Number 11: spin magnetization 5.00 Bohr magnetons per cell. Number 12: spin magnetization 0.00 Bohr magnetons per cell. Number 13: spin magnetization 1.00 Bohr magnetons per cell. Number 14: spin magnetization 2.00 Bohr magnetons per cell. Number 15: spin magnetization 4.00 Bohr magnetons per cell. Number 16: spin magnetization 0.00 Bohr magnetons per cell. Number 17: spin magnetization 10.03 Bohr magnetons per cell. Number 18: spin magnetization 5.00 Bohr magnetons per cell. Number 19: spin magnetization 0.60 Bohr magnetons per cell. Number 20: spin magnetization 2.00 Bohr magnetons per cell.